Entry 1:
A relaxed Ac4NiTeSe2 crystal, computed with PBE.

Cell: 7.9072 4.3917 8.0456 Å, 90.00 108.66 90.00°
Space group P2/m (No. 10)
Inequivalent atoms, fractional coordinates:
Ac (0.2280, 0.0000, 0.2189) x2
Ac (0.2603, 0.5000, 0.7642) x2
Ni (0.0000, 0.5000, 0.0000) x1
Te (0.0000, 0.0000, 0.5000) x1
Se (0.5000, 0.0000, 0.0000) x1
Se (0.5000, 0.5000, 0.5000) x1

Output
DFT total energy: -5.347 eV/atom
E_form (uncorrected): -10.45 eV per formula unit
Total moment: 0.0 Bohr magnetons per cell
DOS at the Fermi energy: 6.2 states/eV/cell

=====

Entry 2:
A relaxed Pu3Sc2 crystal, computed with PBE.

Cell: 9.1192 9.1192 11.0564 Å, 90.00 90.00 120.00°
Space group R-3c (No. 167, hexagonal axes)
Inequivalent atoms, fractional coordinates:
Pu (0.0000, 0.3301, 0.2500) x18
Sc (0.0000, 0.0000, 0.1252) x12

Output
DFT total energy: -10.748 eV/atom
Total moment: 108.6 Bohr magnetons per cell
DOS at the Fermi energy: 113.9 states/eV/cell
ΔE_f: 0.38 eV/atom

=====

Entry 3:
A relaxed La3Cu4Pd4 crystal, computed with PBE.

Cell: 4.2432 7.1026 14.6168 Å, 90.00 90.00 90.00°
Space group Immm (No. 71)
Inequivalent atoms, fractional coordinates:
La (0.0000, 0.0000, 0.0000) x2
La (0.0000, 0.5000, 0.1425) x4
Cu (0.0000, 0.0000, 0.2111) x4
Cu (0.0000, 0.1735, 0.5000) x4
Pd (0.0000, 0.3020, 0.3346) x8

Output
DFT total energy: -5.211 eV/atom
Total moment: 0.0 Bohr magnetons per cell
DOS at the Fermi energy: 7.9 states/eV/cell
ΔE_f: -0.49 eV/atom